(1)
{
  "formula": "ReIr3Os",
  "functional": "PBE",
  "state": "optimized geometry",
  "e_form_ev_per_atom": 0.376,
  "sg": "Cmcm, No. 63",
  "de_polymorph_mev_per_atom": 264,
  "lattice": [[1.352, -7.006, 0.000], [1.352, 7.006, 0.000], [0.000, 0.000, 8.729]],
  "species": ["Re", "Re", "Ir", "Ir", "Ir", "Ir", "Ir", "Ir", "Os", "Os"],
  "frac_coords": [[0.227, 0.773, 0.750], [0.773, 0.227, 0.250], [0.100, 0.900, 0.250], [0.333, 0.667, 0.010], [0.333, 0.667, 0.490], [0.667, 0.333, 0.510], [0.667, 0.333, 0.990], [0.900, 0.100, 0.750], [0.446, 0.554, 0.250], [0.554, 0.446, 0.750]]
}



(2)
{
  "formula": "DyMg7Zn5",
  "functional": "PBE",
  "state": "optimized geometry",
  "e_form_ev_per_atom": -0.138,
  "sg": "Imm2, No. 44",
  "lattice": [[-2.755, 4.752, 4.822], [2.755, -4.752, 4.822], [2.755, 4.752, -4.822]],
  "species": ["Dy", "Mg", "Mg", "Mg", "Mg", "Mg", "Mg", "Mg", "Zn", "Zn", "Zn", "Zn", "Zn"],
  "frac_coords": [[0.000, 0.000, 0.000], [0.208, 0.504, 0.704], [0.227, 0.727, 0.500], [0.352, 0.352, 0.000], [0.356, 0.010, 0.346], [0.660, 0.660, 0.000], [0.664, 0.010, 0.654], [0.800, 0.504, 0.296], [0.001, 0.007, 0.494], [0.001, 0.507, 0.994], [0.513, 0.007, 0.006], [0.513, 0.507, 0.506], [0.791, 0.291, 0.500]]
}